Entry 1:
Compound: ScNbCd2W
Source: Alexandria
Functional: GGA-PBE
Structure: relaxed

Cell and atoms, written as extended XYZ:
```
5
Lattice="5.0309 0.0000 0.0000 0.0000 4.5849 0.0000 0.0000 0.0000 5.0309" Properties=species:S:1:pos:R:3 pbc="T T T"
Sc 0.0000 0.0000 0.0000
Nb 0.0000 2.2924 0.0000
W 2.5154 2.2924 2.5154
Cd 0.0000 0.0000 2.5154
Cd 2.5154 0.0000 0.0000
```

Summary:
density of states at the Fermi level	6.6	states/eV/f.u.
ΔE to the lowest computed polymorph	30	meV per atom
calculated total energy	-4.2368	eV per atom
energy of formation	2000	meV/atom

Entry 2:
Compound: ScNbCd2W
Source: Alexandria
Functional: GGA-PBE
Structure: relaxed

Cell and atoms, written as extended XYZ:
```
5
Lattice="-0.7682 4.3061 2.8121 -0.9112 -2.5545 3.6627 5.0368 0.0551 1.2915" Properties=species:S:1:pos:R:3 pbc="T T T"
Sc -0.4556 -1.2772 1.8314
Nb 0.0000 0.0000 0.0000
W 1.6787 0.9034 3.8832
Cd 2.5184 0.0275 0.6458
Cd -0.3841 2.1531 1.4061
```

Summary:
density of states at the Fermi level	8.6	states/eV/f.u.
ΔE to the lowest computed polymorph	0	meV per atom
calculated total energy	-4.2664	eV per atom
energy of formation	1970	meV/atom

Entry 3:
Compound: YSc2NbCd
Source: Alexandria
Functional: GGA-PBE
Structure: relaxed

Cell and atoms, written as extended XYZ:
```
5
Lattice="5.2157 0.0000 0.0000 0.0000 5.5429 0.0000 0.0000 0.0000 5.2157" Properties=species:S:1:pos:R:3 pbc="T T T"
Y 0.0000 2.7714 0.0000
Sc 0.0000 0.0000 2.6078
Sc 2.6078 0.0000 0.0000
Nb 2.6078 2.7714 2.6078
Cd 0.0000 0.0000 0.0000
```

Summary:
density of states at the Fermi level	10.2	states/eV/f.u.
calculated total energy	-5.0290	eV per atom
energy of formation	993	meV/atom

Entry 4:
Compound: Nb3CdSe
Source: Alexandria
Functional: GGA-PBE
Structure: relaxed

Cell and atoms, written as extended XYZ:
```
5
Lattice="4.7825 0.0000 0.0000 0.0000 4.7825 0.0000 0.0000 0.0000 4.7825" Properties=species:S:1:pos:R:3 pbc="T T T"
Nb 0.0000 2.3913 0.0000
Nb 0.0000 0.0000 2.3913
Nb 2.3913 0.0000 0.0000
Se 0.0000 0.0000 0.0000
Cd 2.3913 2.3913 2.3913
```

Summary:
density of states at the Fermi level	6.9	states/eV/f.u.
ΔE to the lowest computed polymorph	0	meV per atom
raw formation energy	0.593	eV/atom
calculated total energy	-6.3285	eV per atom

Entry 5:
Compound: NbCd3Se
Source: Alexandria
Functional: GGA-PBE
Structure: relaxed

Cell and atoms, written as extended XYZ:
```
5
Lattice="-1.7884 -2.6204 -4.1901 -3.2246 -2.7581 3.1011 -3.7451 3.6261 -0.6693" Properties=species:S:1:pos:R:3 pbc="T T T"
Nb -4.3791 -0.8762 -0.8791
Se 0.0000 0.0000 0.0000
Cd -1.6123 -1.3790 1.5506
Cd -1.8726 1.8130 -0.3346
Cd -0.8942 -1.3102 -2.0951
```

Summary:
density of states at the Fermi level	3.3	states/eV/f.u.
ΔE to the lowest computed polymorph	0	meV per atom
raw formation energy	1.027	eV/atom
calculated total energy	-2.2329	eV per atom

Entry 6:
Compound: NbCd3Se
Source: Alexandria
Functional: GGA-PBE
Structure: relaxed

Cell and atoms, written as extended XYZ:
```
5
Lattice="5.5515 0.0000 0.0000 0.0000 5.5515 0.0000 0.0000 0.0000 5.5515" Properties=species:S:1:pos:R:3 pbc="T T T"
Nb 0.0000 0.0000 0.0000
Se 2.7758 2.7758 2.7758
Cd 0.0000 2.7758 0.0000
Cd 0.0000 0.0000 2.7758
Cd 2.7758 0.0000 0.0000
```

Summary:
density of states at the Fermi level	8.5	states/eV/f.u.
ΔE to the lowest computed polymorph	72	meV per atom
raw formation energy	1.099	eV/atom
calculated total energy	-2.1608	eV per atom

Entry 7:
Compound: NbCdSe2
Source: Alexandria
Functional: GGA-PBE
Structure: relaxed

Cell and atoms, written as extended XYZ:
```
4
Lattice="1.9708 0.0000 9.5788 -0.9854 1.7067 9.5788 -0.9854 -1.7067 9.5788" Properties=species:S:1:pos:R:3 pbc="T T T"
Nb 0.0000 0.0000 14.3682
Se 0.0000 0.0000 25.6653
Se 0.0000 0.0000 3.0711
Cd 0.0000 0.0000 0.0000
```

Summary:
density of states at the Fermi level	2.6	states/eV/f.u.
raw formation energy	-0.575	eV/atom
calculated total energy	-5.0636	eV per atom

Entry 8:
Compound: NbCd2Se
Source: Alexandria
Functional: GGA-PBE
Structure: relaxed

Cell and atoms, written as extended XYZ:
```
8
Lattice="-8.0725 -0.0075 0.3969 -0.3960 -0.3952 -8.0628 -4.2254 -2.8761 -3.7023" Properties=species:S:1:pos:R:3 pbc="T T T"
Nb 0.0000 0.0000 0.0000
Nb -8.2660 -1.5424 -3.5692
Se -4.2343 -0.2013 -3.8330
Se -4.4278 -1.7363 -7.7990
Cd -6.0399 -0.7730 -1.6908
Cd -2.4242 -0.9671 -5.9098
Cd -6.3502 -2.3135 -5.7626
Cd -10.5735 -2.5040 -9.3733
```

Summary:
density of states at the Fermi level	4.0	states/eV/f.u.
raw formation energy	0.318	eV/atom
calculated total energy	-3.5279	eV per atom

Entry 9:
Compound: NbCdSe2
Source: Alexandria
Functional: GGA-PBE
Structure: relaxed

Cell and atoms, written as extended XYZ:
```
4
Lattice="-4.1277 7.5734 0.7724 -0.7750 8.3157 2.2889 -1.2219 8.4520 -1.4358" Properties=species:S:1:pos:R:3 pbc="T T T"
Nb 0.0000 0.0000 0.0000
Se -5.5268 21.9651 1.4667
Se -0.5978 2.3759 0.1587
Cd -3.0623 12.1705 0.8127
```

Summary:
density of states at the Fermi level	1.6	states/eV/f.u.
raw formation energy	0.219	eV/atom
calculated total energy	-4.2696	eV per atom

Entry 10:
Compound: NbCdSe2
Source: Alexandria
Functional: GGA-PBE
Structure: relaxed

Cell and atoms, written as extended XYZ:
```
8
Lattice="6.3035 0.0000 0.0000 0.0000 6.3035 0.0000 3.1518 3.1518 5.8087" Properties=species:S:1:pos:R:3 pbc="T T T"
Nb 3.1518 3.1518 0.0000
Nb 3.1518 6.3035 2.9044
Se 4.5910 1.5759 1.4522
Se 1.7125 4.7277 1.4522
Se 4.7277 4.8643 4.3565
Se 7.8794 7.7428 4.3565
Cd 0.0000 0.0000 0.0000
Cd 6.3035 3.1518 2.9044
```

Summary:
density of states at the Fermi level	2.9	states/eV/f.u.
raw formation energy	-0.146	eV/atom
calculated total energy	-4.6343	eV per atom

Entry 11:
Compound: Nb3CdSe
Source: Alexandria
Functional: GGA-PBE
Structure: relaxed

Cell and atoms, written as extended XYZ:
```
5
Lattice="5.0219 0.0000 0.0000 0.0000 5.0219 0.0000 0.0000 0.0000 5.0219" Properties=species:S:1:pos:R:3 pbc="T T T"
Nb 0.0000 2.5110 0.0000
Nb 0.0000 0.0000 2.5110
Nb 2.5110 0.0000 0.0000
Se 2.5110 2.5110 2.5110
Cd 0.0000 0.0000 0.0000
```

Summary:
density of states at the Fermi level	8.6	states/eV/f.u.
ΔE to the lowest computed polymorph	1297	meV per atom
raw formation energy	1.890	eV/atom
calculated total energy	-5.0317	eV per atom

Entry 12:
Compound: Nb2CdSiSe
Source: Alexandria
Functional: GGA-PBE
Structure: relaxed

Cell and atoms, written as extended XYZ:
```
5
Lattice="-2.2615 1.7960 -3.8415 0.5251 -4.1823 -2.2644 -4.2077 -1.4918 1.7796" Properties=species:S:1:pos:R:3 pbc="T T T"
Nb -2.1038 -0.7459 0.8898
Nb -1.1307 0.8980 -1.9207
Si 0.0000 0.0000 0.0000
Se 0.2626 -2.0911 -1.1322
Cd -2.9720 -1.9391 -2.1632
```

Summary:
density of states at the Fermi level	3.0	states/eV/f.u.
raw formation energy	0.766	eV/atom
calculated total energy	-5.2260	eV per atom

Entry 13:
Compound: Ta2NbCdSe
Source: Alexandria
Functional: GGA-PBE
Structure: relaxed

Cell and atoms, written as extended XYZ:
```
5
Lattice="5.0112 0.0000 0.0000 0.0000 4.8847 0.0000 0.0000 0.0000 5.0112" Properties=species:S:1:pos:R:3 pbc="T T T"
Nb 0.0000 0.0000 0.0000
Cd 2.5056 2.4423 2.5056
Se 0.0000 2.4423 0.0000
Ta 0.0000 0.0000 2.5056
Ta 2.5056 0.0000 0.0000
```

Summary:
density of states at the Fermi level	5.3	states/eV/f.u.
raw formation energy	1.269	eV/atom
calculated total energy	-6.3663	eV per atom

Entry 14:
Compound: NbCd2TcSe
Source: Alexandria
Functional: GGA-PBE
Structure: relaxed

Cell and atoms, written as extended XYZ:
```
5
Lattice="-0.7456 -2.6700 -4.2409 4.7032 0.1886 -0.9457 0.6925 -4.3013 2.5863" Properties=species:S:1:pos:R:3 pbc="T T T"
Nb 2.3516 0.0943 -0.4728
Tc 2.3250 -3.3913 -1.3001
Se 0.0000 0.0000 0.0000
Cd 0.3463 -2.1507 1.2931
Cd -0.3728 -1.3350 -2.1204
```

Summary:
density of states at the Fermi level	3.7	states/eV/f.u.
raw formation energy	1.274	eV/atom
calculated total energy	-3.8756	eV per atom

Entry 15:
Compound: NbCdTeSe2
Source: Alexandria
Functional: GGA-PBE
Structure: relaxed

Cell and atoms, written as extended XYZ:
```
5
Lattice="-3.3331 -2.0976 -2.9956 4.1623 -0.9430 -3.9708 0.9443 -4.4093 2.0369" Properties=species:S:1:pos:R:3 pbc="T T T"
Nb 0.0000 0.0000 0.0000
Te 2.0811 -0.4715 -1.9854
Se 0.4721 -2.2047 1.0185
Se -1.6665 -1.0488 -1.4978
Cd 0.8867 -3.7250 -2.4647
```

Summary:
density of states at the Fermi level	3.7	states/eV/f.u.
raw formation energy	-0.159	eV/atom
calculated total energy	-4.3781	eV per atom

Entry 16:
Compound: Nb2VCdSe
Source: Alexandria
Functional: GGA-PBE
Structure: relaxed

Cell and atoms, written as extended XYZ:
```
5
Lattice="4.7760 0.0000 0.0000 0.0000 4.6126 0.0000 0.0000 0.0000 4.7760" Properties=species:S:1:pos:R:3 pbc="T T T"
Nb 0.0000 0.0000 2.3880
Nb 2.3880 0.0000 0.0000
V 0.0000 0.0000 0.0000
Se 0.0000 2.3063 0.0000
Cd 2.3880 2.3063 2.3880
```

Summary:
density of states at the Fermi level	6.5	states/eV/f.u.
raw formation energy	0.776	eV/atom
calculated total energy	-5.9554	eV per atom

Entry 17:
Compound: Zr2NbCdSe
Source: Alexandria
Functional: GGA-PBE
Structure: relaxed

Cell and atoms, written as extended XYZ:
```
5
Lattice="-0.9027 4.2539 2.8524 1.4852 -2.3923 4.0377 4.8755 1.6010 -0.8447" Properties=species:S:1:pos:R:3 pbc="T T T"
Nb 0.0000 0.0000 0.0000
Se 0.7426 -1.1962 2.0189
Zr 2.4377 0.8005 -0.4224
Zr -0.4514 2.1270 1.4262
Cd 2.7290 1.7313 3.0227
```

Summary:
density of states at the Fermi level	4.9	states/eV/f.u.
raw formation energy	0.537	eV/atom
calculated total energy	-5.7758	eV per atom

Entry 18:
Compound: NbCd2Si2
Source: Alexandria
Functional: GGA-PBE
Structure: relaxed

Cell and atoms, written as extended XYZ:
```
5
Lattice="-0.6187 -0.4172 3.6362 2.5003 -2.7414 0.1109 6.0330 3.1219 3.2794" Properties=species:S:1:pos:R:3 pbc="T T T"
Nb 0.0000 0.0000 0.0000
Si 1.7915 -0.7939 2.1084
Si 6.1231 0.7573 4.9181
Cd 3.1775 0.5627 4.3946
Cd 4.7370 -0.5994 2.6319
```

Summary:
density of states at the Fermi level	4.0	states/eV/f.u.
ΔE to the lowest computed polymorph	247	meV per atom
raw formation energy	0.460	eV/atom
calculated total energy	-4.0889	eV per atom

Entry 19:
Compound: NbCd2Si
Source: Alexandria
Functional: GGA-PBE
Structure: relaxed

Cell and atoms, written as extended XYZ:
```
8
Lattice="-1.6220 -7.3819 1.8678 5.0159 0.4010 5.9406 -0.2510 -2.6604 5.4930" Properties=species:S:1:pos:R:3 pbc="T T T"
Nb 0.0000 0.0000 0.0000
Nb -0.0880 -6.7664 5.6325
Si 1.6970 -3.4904 3.9042
Si 3.2309 -2.8749 7.6689
Cd -0.3947 -4.9792 3.2201
Cd 2.8146 -1.5867 5.3827
Cd 1.2540 -4.5996 7.2486
Cd 2.6119 -8.1171 10.7513
```

Summary:
density of states at the Fermi level	2.9	states/eV/f.u.
raw formation energy	0.409	eV/atom
calculated total energy	-3.9213	eV per atom

Entry 20:
Compound: NbCd2Si2
Source: Alexandria
Functional: GGA-PBE
Structure: relaxed

Cell and atoms, written as extended XYZ:
```
10
Lattice="-3.8228 5.1436 2.2923 -3.4134 -4.3201 4.0012 2.6364 0.6462 2.9468" Properties=species:S:1:pos:R:3 pbc="T T T"
Nb 0.0000 0.0000 0.0000
Nb -3.6181 0.4117 3.1467
Si -4.3940 -1.8543 4.3378
Si -5.4769 1.7661 4.5127
Si -2.8423 2.6777 1.9557
Si -1.7594 -0.9427 1.7808
Cd -1.6786 -1.6902 4.5960
Cd -4.0796 0.2620 6.3161
Cd -2.9212 3.1598 4.6443
Cd -0.5202 1.2077 2.9242
```

Summary:
density of states at the Fermi level	3.4	states/eV/f.u.
ΔE to the lowest computed polymorph	0	meV per atom
raw formation energy	0.213	eV/atom
calculated total energy	-4.3362	eV per atom